Material: Ba2ZnP2
Method: DFT, PBE
State: optimized geometry

Output
E = -3.666 eV/atom
space-group type = P4/mbm
magnetization = 0.000 μB per formula unit
ΔE_f = -478 meV/atom

Geometry as extended XYZ:
```
10
Lattice="-1.5093 7.2329 3.2351 -4.6480 -3.4754 5.6015 3.5842 -0.4558 2.6913" Properties=species:S:1:pos:R:3 pbc="T T T"
P -1.8014 0.0452 2.4068
P -4.3775 -0.4845 5.7478
P -1.7798 4.2421 3.0888
P -4.3559 3.7123 6.4299
Ba -3.1515 1.4794 8.2186
Ba -1.4325 -1.4160 5.4388
Ba 0.5784 1.8224 3.3093
Ba -1.1407 4.7178 6.0891
Zn -3.0787 1.8788 4.4183
Zn 0.0000 0.0000 0.0000
```

=====

Material: InTc3O
Method: DFT, PBE
State: optimized geometry

Output
ΔE_f (raw) = 43 kJ/mol of formula units
E = -7.670 eV/atom
E above lowest polymorph = 0.0 meV per atom
space-group type = Pm-3m
magnetization = 1.342 μB per formula unit

Geometry as extended XYZ:
```
5
Lattice="-2.4214 1.1375 3.1760 -1.9807 -3.6441 -0.2049 2.7309 -1.6344 2.6674" Properties=species:S:1:pos:R:3 pbc="T T T"
In -0.8356 -2.0705 2.8193
Tc -0.9903 -1.8220 -0.1025
Tc -1.2107 0.5688 1.5880
Tc 1.3655 -0.8172 1.3337
O 0.0000 0.0000 0.0000
```

=====

Material: YBO2
Method: DFT, PBE
State: optimized geometry

Output
ΔE_f (raw) = -407 kJ/mol of formula units
E = -6.819 eV/atom
space-group type = I-42d
magnetization = 0.000 μB per formula unit

Geometry as extended XYZ:
```
8
Lattice="-2.3469 -1.5052 3.1592 -3.1416 -0.7693 -2.7004 -0.5265 -6.6901 -0.7688" Properties=species:S:1:pos:R:3 pbc="T T T"
O -2.5768 -5.9008 -0.5110
O -1.8987 -2.6502 1.3203
O -5.0736 -6.9775 -0.0689
O -2.4810 -2.4008 -1.3606
Y 0.0000 0.0000 0.0000
Y -2.8088 -4.6663 1.3099
B -3.2062 -4.2983 -1.6199
B -2.7443 -1.1373 0.2294
```

=====

Material: La3Al3Ni2
Method: DFT, PBE
State: optimized geometry

Output
E = -5.144 eV/atom
E above lowest polymorph = 0.0 meV per atom
space-group type = Cmcm
magnetization = 0.000 μB per formula unit
ΔE_f = -448 meV/atom

Geometry as extended XYZ:
```
16
Lattice="-0.3056 2.9278 3.0647 -4.5203 0.3840 -3.7637 -8.1006 -9.9648 8.7123" Properties=species:S:1:pos:R:3 pbc="T T T"
Ni -7.6281 -3.6513 5.6738
Ni -9.8486 -6.3828 8.0620
Ni -3.0778 -0.2701 -0.0488
Ni -5.2984 -3.0016 2.3394
Al -5.3915 -1.1600 0.5707
Al -7.3360 -4.1235 3.2080
Al -2.0820 1.7864 1.0319
Al -5.5904 -2.5294 4.8052
Al -10.8445 -8.4393 6.9813
Al -7.5350 -5.4929 7.4425
La -7.6906 -8.7271 7.5707
La -5.2359 2.0742 0.4425
La -3.6430 -0.4479 3.0108
La -7.5639 -0.7896 2.9463
La -5.3626 -5.8633 5.0669
La -9.2835 -6.2050 5.0024
```